Here is CaZnInBr5 after structural relaxation from Alexandria. Energies are from GGA-PBE.

Results
For the magnetization, the calculation gives 0.000 μB per formula unit. The value obtained for the formation energy from raw total energies is -1245 meV/atom. Its density is 3.6 g/cm3.

a = 7.867 Å, b = 7.867 Å, c = 10.391 Å
α = 104.44°, β = 104.44°, γ = 105.29°
Element x y z (fractional)
Ca 0.000 0.000 0.000
Ca 0.000 0.000 0.500
Zn 0.318 0.682 0.750
Zn 0.682 0.318 0.250
In 0.343 0.657 0.250
In 0.657 0.343 0.750
Br 0.089 0.911 0.250
Br 0.090 0.667 0.874
Br 0.254 0.387 0.565
Br 0.333 0.910 0.626
Br 0.387 0.254 0.065
Br 0.613 0.746 0.935
Br 0.667 0.090 0.374
Br 0.746 0.613 0.435
Br 0.910 0.333 0.126
Br 0.911 0.089 0.750